Version a
First-principles (PBE-GGA) data for a geometry-optimized Ca2CrOs structure, as listed in the Alexandria database.

Lattice parameters (Å, degrees): 4.876 4.877 4.881 120.24 120.24 89.54
Last column: magnetic moment on the atom in μB.
Fractional positions:
Os: 0.750 0.250 0.500  -0.27
Cr: 0.500 0.500 0.000  3.36
Ca: 0.000 0.000 0.000  0.01
Ca: 0.250 0.750 0.500  0.08

Results
Symmetry ... F222
Density ... 6.54 g/cm³

Version b
First-principles (PBE-GGA) data for a geometry-optimized Ca2CrOs structure, as listed in the Alexandria database.

Lattice parameters (Å, degrees): 3.583 3.583 7.112 90.00 90.00 90.00
Last column: magnetic moment on the atom in μB.
Fractional positions:
Ca: 0.000 0.000 0.971  0.02
Ca: 0.000 0.000 0.529  0.02
Cr: 0.500 0.500 0.250  3.92
Os: 0.500 0.500 0.750  0.33

Results
Symmetry ... P4/mmm
Density ... 5.86 g/cm³

On energetic grounds, version a is preferred over the next structure by 85 meV/atom.

Version a
First-principles (PBE-GGA) data for a geometry-optimized Ca2CrOs structure, as listed in the Alexandria database.

Lattice parameters (Å, degrees): 5.478 5.478 5.478 137.48 123.51 73.19
Last column: magnetic moment on the atom in μB.
Fractional positions:
Os: 0.306 0.806 0.500  -0.35
Ca: 0.024 0.024 0.000  0.00
Ca: 0.728 0.228 0.500  0.02
Cr: 0.441 0.441 0.000  2.19

Results
Symmetry ... Imm2
Density ... 5.91 g/cm³

Version b
First-principles (PBE-GGA) data for a geometry-optimized Ca2CrOs structure, as listed in the Alexandria database.

Lattice parameters (Å, degrees): 2.832 2.832 9.626 90.00 90.00 90.11
Last column: magnetic moment on the atom in μB.
Fractional positions:
Os: 0.500 0.500 0.750  0.12
Cr: 0.500 0.500 0.250  0.41
Ca: 0.000 0.000 0.507  -0.01
Ca: 0.000 0.000 0.993  -0.01

Results
Symmetry ... Cmmm
Density ... 6.94 g/cm³

On energetic grounds, version a is preferred over the next structure by 591 meV/atom.

Version a
First-principles (PBE-GGA) data for a geometry-optimized Ca2CrOs structure, as listed in the Alexandria database.

Lattice parameters (Å, degrees): 10.548 10.548 7.811 47.53 47.53 90.00
Last column: magnetic moment on the atom in μB.
Fractional positions:
Os: 0.750 0.250 0.500  -0.22
Os: 0.000 0.000 0.000  -0.22
Ca: 0.792 0.125 0.250  0.02
Ca: 0.958 0.625 0.250  0.02
Ca: 0.875 0.042 0.750  0.02
Ca: 0.375 0.208 0.750  0.03
Cr: 0.250 0.750 0.500  3.05
Cr: 0.500 0.500 0.000  3.05

Results
Symmetry ... I-42d
Density ... 4.15 g/cm³

Version b
First-principles (PBE-GGA) data for a geometry-optimized Ca2CrOs structure, as listed in the Alexandria database.

Lattice parameters (Å, degrees): 5.241 5.241 5.241 128.13 128.13 76.42
Last column: magnetic moment on the atom in μB.
Fractional positions:
Ca: 0.000 0.000 0.000  0.03
Ca: 0.500 0.500 0.000  0.03
Os: 0.750 0.250 0.500  -0.23
Cr: 0.250 0.750 0.500  3.76

Results
Symmetry ... I4/mmm
Density ... 6.19 g/cm³

Version c
First-principles (PBE-GGA) data for a geometry-optimized Ca2CrOs structure, as listed in the Alexandria database.

Lattice parameters (Å, degrees): 10.121 10.121 10.121 18.40 18.40 18.40
Last column: magnetic moment on the atom in μB.
Fractional positions:
Ca: 0.490 0.490 0.490  -0.02
Ca: 0.010 0.010 0.010  -0.02
Cr: 0.250 0.250 0.250  3.73
Os: 0.750 0.750 0.750  0.00

Results
Symmetry ... R-3m
Density ... 5.93 g/cm³

Version d
First-principles (PBE-GGA) data for a geometry-optimized Ca2CrOs structure, as listed in the Alexandria database.

Lattice parameters (Å, degrees): 7.315 5.262 3.260 89.97 63.58 123.87
Last column: magnetic moment on the atom in μB.
Fractional positions:
Ca: 0.500 0.000 0.500  0.02
Ca: 0.000 0.000 0.000  0.02
Os: 0.500 0.500 0.000  0.67
Cr: 0.000 0.500 0.500  3.78

Results
Symmetry ... Cmmm
Density ... 6.09 g/cm³

On energetic grounds, version b is preferred over the next structure by 12 meV/atom.

Version a
First-principles (PBE-GGA) data for a geometry-optimized CaCr2Os structure, as listed in the Alexandria database.

Lattice parameters (Å, degrees): 4.907 4.907 5.248 77.04 77.04 35.79
Fractional positions:
Ca: 0.250 0.250 0.250
Cr: 0.035 0.035 0.877
Cr: 0.465 0.465 0.623
Os: 0.750 0.750 0.750

Results
Symmetry ... C2/m
Density ... 7.73 g/cm³

Version b
First-principles (PBE-GGA) data for a geometry-optimized CaCr2Os structure, as listed in the Alexandria database.

Lattice parameters (Å, degrees): 4.532 4.532 3.020 90.00 90.00 90.00
Last column: magnetic moment on the atom in μB.
Fractional positions:
Os: 0.500 0.000 0.500  -0.47
Ca: 0.000 0.500 0.500  0.05
Cr: 0.500 0.500 0.000  1.75
Cr: 0.000 0.000 0.000  1.75

Results
Symmetry ... P4/mmm
Density ... 8.95 g/cm³

On energetic grounds, version a is preferred over the next structure by 275 meV/atom.

Version a
First-principles (PBE-GGA) data for a geometry-optimized CaCrOs2 structure, as listed in the Alexandria database.

Lattice parameters (Å, degrees): 4.363 2.843 5.731 76.36 90.00 90.00
Last column: magnetic moment on the atom in μB.
Fractional positions:
Ca: 0.000 0.540 0.522  0.07
Cr: 0.500 0.913 0.786  2.63
Os: 0.500 0.232 0.169  -0.01
Os: 0.000 0.814 0.023  -0.12

Results
Symmetry ... Pm
Density ... 11.36 g/cm³

Version b
First-principles (PBE-GGA) data for a geometry-optimized CaCrOs2 structure, as listed in the Alexandria database.

Lattice parameters (Å, degrees): 4.951 4.951 5.174 73.97 73.97 33.69
Last column: magnetic moment on the atom in μB.
Fractional positions:
Os: 0.970 0.970 0.064  -0.15
Os: 0.530 0.530 0.436  -0.15
Ca: 0.750 0.750 0.750  0.00
Cr: 0.250 0.250 0.250  1.16

Results
Symmetry ... C2/m
Density ... 11.65 g/cm³

On energetic grounds, version b is preferred over the next structure by 75 meV/atom.

Version a
First-principles (PBE-GGA) data for a geometry-optimized CaCrP2Os structure, as listed in the Alexandria database.

Lattice parameters (Å, degrees): 4.017 4.017 5.761 110.40 110.40 90.00
Last column: magnetic moment on the atom in μB.
Fractional positions:
P: 0.373 0.373 0.745  -0.05
P: 0.627 0.627 0.255  -0.05
Ca: 0.000 0.000 0.000  0.01
Os: 0.250 0.750 0.500  0.08
Cr: 0.750 0.250 0.500  2.27

Results
Symmetry ... I-4m2
Density ... 7.07 g/cm³

Version b
First-principles (PBE-GGA) data for a geometry-optimized CaCrP2Os structure, as listed in the Alexandria database.

Lattice parameters (Å, degrees): 4.982 5.014 4.982 90.00 90.00 90.00
Last column: magnetic moment on the atom in μB.
Fractional positions:
Cr: 0.500 0.500 0.500  4.00
Ca: 0.000 0.000 0.000  0.01
P: 0.000 0.000 0.500  -0.09
P: 0.500 0.000 0.000  -0.09
Os: 0.000 0.500 0.000  -1.93

Results
Symmetry ... P4/mmm
Density ... 4.59 g/cm³

On energetic grounds, version a is preferred over the next structure by 2723 meV/atom.

Version a
First-principles (PBE-GGA) data for a geometry-optimized CaCr3P structure, as listed in the Alexandria database.

Lattice parameters (Å, degrees): 4.456 4.456 4.456 90.00 90.00 90.00
Last column: magnetic moment on the atom in μB.
Fractional positions:
P: 0.000 0.000 0.000  -0.12
Cr: 0.000 0.500 0.000  2.20
Cr: 0.500 0.000 0.000  1.92
Cr: 0.000 0.000 0.500  2.23
Ca: 0.500 0.500 0.500  0.01

Results
Symmetry ... Pm-3m
Density ... 4.26 g/cm³

Version b
First-principles (PBE-GGA) data for a geometry-optimized CaCr3P structure, as listed in the Alexandria database.

Lattice parameters (Å, degrees): 4.327 4.327 4.327 90.00 90.00 90.00
Fractional positions:
P: 0.500 0.500 0.500
Cr: 0.000 0.500 0.000
Cr: 0.000 0.000 0.500
Cr: 0.500 0.000 0.000
Ca: 0.000 0.000 0.000

Results
Symmetry ... Pm-3m
Density ... 4.65 g/cm³

On energetic grounds, version a is preferred over the next structure by 2326 meV/atom.

Version a
First-principles (PBE-GGA) data for a geometry-optimized CaCrP3 structure, as listed in the Alexandria database.

Lattice parameters (Å, degrees): 4.546 4.546 4.546 90.00 90.00 90.00
Last column: magnetic moment on the atom in μB.
Fractional positions:
P: 0.500 0.000 0.000  -0.07
P: 0.000 0.000 0.500  -0.03
P: 0.000 0.500 0.000  -0.05
Ca: 0.500 0.500 0.500  0.00
Cr: 0.000 0.000 0.000  0.83

Results
Symmetry ... Pm-3m
Density ... 3.27 g/cm³

Version b
First-principles (PBE-GGA) data for a geometry-optimized CaCrP3 structure, as listed in the Alexandria database.

Lattice parameters (Å, degrees): 5.107 5.107 5.107 90.00 90.00 90.00
Last column: magnetic moment on the atom in μB.
Fractional positions:
P: 0.000 0.000 0.500  0.04
P: 0.000 0.500 0.000  0.07
P: 0.500 0.000 0.000  0.07
Cr: 0.500 0.500 0.500  -4.10
Ca: 0.000 0.000 0.000  -0.03

Results
Symmetry ... Pm-3m
Density ... 2.31 g/cm³

On energetic grounds, version a is preferred over the next structure by 1438 meV/atom.